Below is a geometry-optimized NiP2AuO structure, with properties calculated at the PBE with a Hubbard U level.

Total magnetic moment: 1.0 μB per formula unit
Electronic total energy: -3.54 eV per atom

a = 3.9188 Å, b = 3.9188 Å, c = 5.1479 Å
α = 90.00°, β = 90.00°, γ = 90.00°
Fractional positions:
Ni1 0.0000 0.0000 0.0000
P1 0.0000 0.5000 0.5000
P2 0.5000 0.0000 0.5000
Au1 0.5000 0.5000 0.0000
O1 0.5000 0.5000 0.5000